VASP calculation (PBE-GGA) on La2Zn4NiPd after structural relaxation.

CIF file:
```
data_La2Zn4NiPd
_cell_length_a 7.5911
_cell_length_b 4.1651
_cell_length_c 9.9247
_cell_angle_alpha 90.00
_cell_angle_beta 90.00
_cell_angle_gamma 90.00
_space_group_name_H-M_alt 'A m m 2'
_space_group_IT_number 38
_space_group_name_Hall 'A 2 -2'
loop_
_atom_site_label
_atom_site_fract_x
_atom_site_fract_y
_atom_site_fract_z
_atom_site_occupancy
La1 0.0000 0.0000 0.0000 1
La2 0.5000 0.0000 0.1225 1
Zn1 0.2077 0.0000 0.7195 1
Zn2 0.3133 0.0000 0.4095 1
Ni1 0.5000 0.0000 0.8490 1
Pd1 0.0000 0.0000 0.2807 1
```

Output
For the volume, the calculation gives 19.6 Å³/atom. As for the total magnetic moment: 0.004 μB per cell. The value obtained for the energy relative to the elements is -0.51 eV per atom. Its total energy is -59.4 eV/cell.